Entry 1:
Here is an optimized crystal structure of TaHgS2O8 from the Alexandria database. Energies are from PBE-GGA.

```
TaHgS2O8
1.0
-2.6072 -2.2981 -3.6921
2.5154 -0.8691 -4.3160
2.9676 -9.6380 2.2907
S Ta O Hg
2 1 8 1
Cartesian
0.4130 -3.5093 -4.6465
2.4627 -9.2959 -1.0710
0.0000 0.0000 0.0000
0.0723 -2.8765 -5.9949
2.8035 -9.9287 0.2775
0.7867 -4.8771 -4.7114
1.3741 -10.1747 -1.6649
3.6830 -9.5306 -1.9461
1.5017 -2.6305 -4.0525
2.0891 -7.9281 -1.0060
-0.8072 -3.2746 -3.7713
1.4838 -4.8190 1.1454
```

crystal system	monoclinic
D(E_F)	0.237	states/eV per atom
formation energy (no corrections)	-1409.0	meV/atom

***

Entry 2:
Here is an optimized crystal structure of Ag2Sn2I2Br5 from the Alexandria database. Energies are from PBE-GGA.

```
Ag2Sn2I2Br5
1.0
-3.8294 2.9947 3.1765
0.8188 -3.6577 4.4355
10.7088 7.5705 0.4646
Br Sn I Ag
5 2 2 2
Cartesian
0.0000 0.0000 0.0000
7.4521 3.7105 5.4857
0.2461 3.1970 2.5909
2.5703 -0.1292 3.2204
5.1279 7.0367 4.8562
2.0781 1.6345 0.9643
5.6201 5.2729 7.1123
3.2760 3.4292 6.0246
4.4222 3.4783 2.0520
6.4681 5.0875 3.0013
1.2301 1.8200 5.0753
```

crystal system	tetragonal
D(E_F)	0.668	states/eV per atom
formation energy (no corrections)	-398.9	meV/atom

***

Entry 3:
Here is an optimized crystal structure of La3SbP2Rh9 from the Alexandria database. Energies are from PBE-GGA.

```
La3SbP2Rh9
1.0
-3.8451 -2.8210 -3.7894
0.6954 -2.0296 5.7008
-6.8943 5.5928 2.8321
Rh La P Sb
9 3 2 1
Cartesian
-1.9223 -0.5951 5.0274
-1.5748 -2.4253 0.9557
-3.9910 -2.1128 2.9887
-7.7475 0.2454 2.7831
-1.9225 -1.4105 -1.8947
-8.1217 1.3373 -0.2839
-2.2965 0.4968 1.9604
-6.0530 2.8550 1.7548
0.3477 -1.0148 2.8504
0.0000 0.0000 0.0000
-4.5225 -0.7799 0.2740
-5.5215 1.5221 4.4695
-8.1452 2.1589 1.7622
-1.8988 -1.4167 2.9813
-3.4472 2.7964 1.4160
```

crystal system	trigonal
D(E_F)	0.584	states/eV per atom
formation energy (no corrections)	-696.7	meV/atom

***

Entry 4:
Here is an optimized crystal structure of Ba4LiTm3Se8 from the Alexandria database. Energies are from PBE-GGA.

```
Ba4LiTm3Se8
1.0
-3.4565 4.6820 -6.3117
-8.0576 -1.9577 2.9605
5.6817 3.5559 5.3652
Ba Tm Se Li
4 3 8 1
Cartesian
-1.7283 2.3410 -3.1559
0.0000 0.0000 0.0000
1.1126 4.1190 -0.4733
2.8409 1.7779 2.6826
-2.9162 3.1401 1.0070
-1.1879 0.7991 4.1628
-5.7571 1.3622 -1.6756
-2.0149 4.8584 -1.1315
-2.7193 5.4871 2.6775
-0.2594 2.5397 2.0261
-4.8192 3.1042 -3.7791
-3.1131 0.7932 -0.6636
-3.8175 1.4219 3.1454
-5.5730 3.7405 -0.0122
-1.0132 3.1760 5.7930
-4.0288 -0.9788 1.4802
```

crystal system	trigonal
D(E_F)	0.290	states/eV per atom
formation energy (no corrections)	-1821.5	meV/atom